*w*
Here is a geometry-optimized Sm4AlZn3 structure from the Alexandria database. Energies are from PBE.

Calculated values
- symmetry = R-3m (166)
- M_tot (μB/f.u.) = 0.000

a = 8.9650 Å, b = 8.9650 Å, c = 8.9650 Å
α = 33.45°, β = 33.45°, γ = 33.45°
Sites, in units of the cell vectors:
Sm: 0.1238 0.1238 0.1238
Sm: 0.3739 0.3739 0.3739
Sm: 0.6261 0.6261 0.6261
Sm: 0.8762 0.8762 0.8762
Al: 0.5000 0.5000 0.5000
Zn: 0.0000 0.0000 0.0000
Zn: 0.2486 0.2486 0.2486
Zn: 0.7514 0.7514 0.7514

=====

*x*
Here is a geometry-optimized Sm4AlZn3 structure from the Alexandria database. Energies are from PBE.

Calculated values
- symmetry = Pmm2 (25)
- M_tot (μB/f.u.) = 0.000

a = 3.6442 Å, b = 4.5457 Å, c = 11.9453 Å
α = 90.00°, β = 90.00°, γ = 90.00°
Sites, in units of the cell vectors:
Sm: 0.0000 0.0000 0.0000
Sm: 0.0000 0.5000 0.3025
Sm: 0.5000 0.0000 0.4942
Sm: 0.5000 0.5000 0.8073
Al: 0.0000 0.0000 0.7139
Zn: 0.0000 0.5000 0.5866
Zn: 0.5000 0.0000 0.2159
Zn: 0.5000 0.5000 0.0867

=====

Of all the structures shown, which is most stable? *w*, and *x* is the least stable.